Entry 1:
! GGA-PBE Mn2PPb, relaxed; values from VASP
&SYSTEM
  ibrav = 0, nat = 4, ntyp = 3
/
ATOMIC_SPECIES
Mn 54.94 Mn.upf
P 30.97 P.upf
Pb 207.20 Pb.upf
ATOMIC_POSITIONS angstrom
Mn -0.040 0.000 1.251
Mn 1.953 0.000 5.850
P 1.527 1.518 0.000
Pb 0.957 1.518 3.551
CELL_PARAMETERS angstrom
3.055 0.000 0.000
0.000 3.036 0.000
-1.141 0.000 7.101
! Symmetry: P2/m (10)

Entry 2:
! GGA-PBE Nb2MoN, relaxed; values from VASP
&SYSTEM
  ibrav = 0, nat = 16, ntyp = 3
/
ATOMIC_SPECIES
Nb 92.91 Nb.upf
Mo 95.94 Mo.upf
N 14.01 N.upf
ATOMIC_POSITIONS angstrom
Nb 1.010 4.589 0.881
Nb 1.530 1.010 6.168
Nb 1.530 2.049 2.643
Nb 2.049 4.589 4.405
Nb 4.069 1.530 4.405
Nb 4.589 4.069 2.643
Nb 4.589 5.109 6.168
Nb 5.109 1.530 0.881
Mo 0.000 0.000 3.524
Mo 0.000 3.059 5.287
Mo 3.059 0.000 1.762
Mo 3.059 3.059 0.000
N 0.000 0.000 0.000
N 0.000 3.059 1.762
N 3.059 0.000 5.287
N 3.059 3.059 3.524
CELL_PARAMETERS angstrom
6.119 0.000 0.000
0.000 6.119 0.000
0.000 0.000 7.049
! Symmetry: I-42d (122)
! Energy relative to the elements, uncorrected, meV/atom: 201

no.,calculated density (g/cm³),energy (eV/atom)
1,8.77,-6.723
2,7.44,-9.623